No. 1
Compound: ScHAuN2
Source: the Alexandria database
Functional: PBE-GGA
Structure: relaxed

abc: 3.9401 3.9401 6.2256
angles: 90.00 90.00 90.00
Atoms (fractional coordinates):
Sc: 0.0000 0.0000 0.0000
H: 0.5000 0.5000 0.5000
Au: 0.0000 0.0000 0.5000
N: 0.0000 0.5000 0.0000
N: 0.5000 0.0000 0.0000

Results
volume: 96.65 Å³ per cell
SG: P4/mmm (123)
Fermi-level density of states: 0.61 states/eV per atom
mass density: 4.66 g cm⁻³
DFT total energy: -4.525 eV per atom


No. 2
Compound: HAuSeN2
Source: the Alexandria database
Functional: PBE-GGA
Structure: relaxed

abc: 3.9581 3.9581 5.9022
angles: 90.00 90.00 90.00
Atoms (fractional coordinates):
H: 0.0000 0.0000 0.0000
Au: 0.5000 0.5000 0.5000
Se: 0.5000 0.5000 0.0000
N: 0.0000 0.5000 0.5000
N: 0.5000 0.0000 0.5000

Results
volume: 92.47 Å³ per cell
SG: P4/mmm (123)
Fermi-level density of states: 0.42 states/eV per atom
mass density: 5.48 g cm⁻³
DFT total energy: -3.202 eV per atom


No. 3
Compound: HAuSe2N
Source: the Alexandria database
Functional: PBE-GGA
Structure: relaxed

abc: 5.2568 5.2568 2.6847
angles: 90.00 90.00 90.00
Atoms (fractional coordinates):
H: 0.0000 0.0000 0.0000
Au: 0.5000 0.5000 0.5000
Se: 0.0000 0.5000 0.0000
Se: 0.5000 0.0000 0.0000
N: 0.0000 0.0000 0.5000

Results
volume: 74.19 Å³ per cell
SG: P4/mmm (123)
Fermi-level density of states: 0.69 states/eV per atom
mass density: 8.28 g cm⁻³
DFT total energy: -3.342 eV per atom


No. 4
Compound: HAuSe2N
Source: the Alexandria database
Functional: PBE-GGA
Structure: relaxed

abc: 5.4557 5.4557 3.7268
angles: 90.00 90.00 90.00
Atoms (fractional coordinates):
H: 0.0000 0.0000 0.0000
Au: 0.5000 0.5000 0.5000
Se: 0.0000 0.5000 0.5000
Se: 0.5000 0.0000 0.5000
N: 0.5000 0.5000 0.0000

Results
volume: 110.93 Å³ per cell
SG: P4/mmm (123)
Fermi-level density of states: 0.87 states/eV per atom
mass density: 5.54 g cm⁻³
DFT total energy: -2.775 eV per atom


No. 5
Compound: HAuSeN2
Source: the Alexandria database
Functional: PBE-GGA
Structure: relaxed

abc: 4.0745 4.0745 3.3188
angles: 90.00 90.00 90.00
Atoms (fractional coordinates):
H: 0.0000 0.0000 0.0000
Au: 0.5000 0.5000 0.5000
Se: 0.0000 0.0000 0.5000
N: 0.0000 0.5000 0.0000
N: 0.5000 0.0000 0.0000

Results
volume: 55.10 Å³ per cell
SG: P4/mmm (123)
Fermi-level density of states: 0.59 states/eV per atom
mass density: 9.19 g cm⁻³
DFT total energy: -3.233 eV per atom


No. 6
Compound: SrH6Au2N2
Source: the Alexandria database
Functional: PBE-GGA
Structure: relaxed

abc: 4.7580 6.1607 6.1978
angles: 74.36 87.24 67.46
Atoms (fractional coordinates):
Sr: 0.0000 0.0000 0.0000
H: 0.0345 0.2525 0.4509
H: 0.2284 0.5785 0.4149
H: 0.2939 0.7743 0.5191
H: 0.7061 0.2257 0.4809
H: 0.7716 0.4215 0.5851
H: 0.9655 0.7475 0.5491
Au: 0.3166 0.3586 0.0671
Au: 0.6834 0.6414 0.9329
N: 0.1300 0.7519 0.4349
N: 0.8700 0.2481 0.5651

Results
volume: 161.27 Å³ per cell
SG: P-1 (2)
Fermi-level density of states: 0.01 states/eV per atom
mass density: 5.31 g cm⁻³
DFT total energy: -4.491 eV per atom


No. 7
Compound: TaHAu2N
Source: the Alexandria database
Functional: PBE-GGA
Structure: relaxed

abc: 3.6880 3.6880 5.0253
angles: 90.00 90.00 90.00
Atoms (fractional coordinates):
Ta: 0.0000 0.0000 0.0000
H: 0.0000 0.0000 0.5000
Au: 0.0000 0.5000 0.5000
Au: 0.5000 0.0000 0.5000
N: 0.5000 0.5000 0.0000

Results
volume: 68.35 Å³ per cell
SG: P4/mmm (123)
Fermi-level density of states: 1.00 states/eV per atom
mass density: 14.33 g cm⁻³
DFT total energy: -5.022 eV per atom


No. 8
Compound: TcHAuN2
Source: the Alexandria database
Functional: PBE-GGA
Structure: relaxed

abc: 4.1814 4.1814 3.2309
angles: 90.00 90.00 90.00
Atoms (fractional coordinates):
Tc: 0.0000 0.0000 0.0000
H: 0.5000 0.5000 0.0000
Au: 0.5000 0.5000 0.5000
N: 0.0000 0.5000 0.5000
N: 0.5000 0.0000 0.5000

Results
volume: 56.49 Å³ per cell
SG: P4/mmm (123)
Fermi-level density of states: 0.36 states/eV per atom
mass density: 9.52 g cm⁻³
DFT total energy: -5.043 eV per atom


No. 9
Compound: NaH3Au
Source: the Alexandria database
Functional: PBE-GGA
Structure: relaxed

abc: 3.8030 3.8030 3.8030
angles: 90.00 90.00 90.00
Atoms (fractional coordinates):
Na: 0.0000 0.0000 0.0000
H: 0.0000 0.0000 0.5000
H: 0.0000 0.5000 0.0000
H: 0.5000 0.0000 0.0000
Au: 0.5000 0.5000 0.5000

Results
volume: 55.00 Å³ per cell
SG: Pm-3m (221)
Fermi-level density of states: 0.10 states/eV per atom
mass density: 6.73 g cm⁻³
DFT total energy: -1.954 eV per atom


No. 10
Compound: NaH3Au
Source: the Alexandria database
Functional: PBE-GGA
Structure: relaxed

abc: 8.8825 8.8825 8.8825
angles: 155.41 155.41 35.06
Atoms (fractional coordinates):
Na: 0.1054 0.1054 0.0000
Na: 0.8946 0.8946 0.0000
H: 0.0023 0.5023 0.5000
H: 0.1686 0.3216 0.8469
H: 0.4747 0.3216 0.1531
H: 0.4977 0.9977 0.5000
H: 0.6784 0.5253 0.8469
H: 0.6784 0.8314 0.1531
Au: 0.5000 0.5000 0.0000
Au: 0.7500 0.2500 0.5000

Results
volume: 121.24 Å³ per cell
SG: I-4m2 (119)
Fermi-level density of states: 0.13 states/eV per atom
mass density: 6.11 g cm⁻³
DFT total energy: -2.842 eV per atom


No. 11
Compound: NaH3Au
Source: the Alexandria database
Functional: PBE-GGA
Structure: relaxed

abc: 7.0204 7.0204 7.0204
angles: 60.00 60.00 60.00
Atoms (fractional coordinates):
Na: 0.0000 0.0000 0.0000
Na: 0.0000 0.0000 0.5000
Na: 0.0000 0.5000 0.0000
Na: 0.5000 0.0000 0.0000
H: 0.1910 0.1910 0.5590
H: 0.1910 0.5590 0.1910
H: 0.1910 0.5590 0.5590
H: 0.4410 0.4410 0.8090
H: 0.4410 0.8090 0.4410
H: 0.4410 0.8090 0.8090
H: 0.5590 0.1910 0.1910
H: 0.5590 0.1910 0.5590
H: 0.5590 0.5590 0.1910
H: 0.8090 0.4410 0.4410
H: 0.8090 0.4410 0.8090
H: 0.8090 0.8090 0.4410
Au: 0.0000 0.5000 0.5000
Au: 0.5000 0.0000 0.5000
Au: 0.5000 0.5000 0.0000
Au: 0.5000 0.5000 0.5000

Results
volume: 244.67 Å³ per cell
SG: Fd-3m (227)
Fermi-level density of states: 0.10 states/eV per atom
mass density: 6.05 g cm⁻³
DFT total energy: -2.831 eV per atom


No. 12
Compound: Na3H4Au
Source: the Alexandria database
Functional: PBE-GGA
Structure: relaxed

abc: 4.8976 4.8976 4.8976
angles: 90.00 90.00 90.00
Atoms (fractional coordinates):
Na: 0.0000 0.0000 0.5000
Na: 0.0000 0.5000 0.0000
Na: 0.5000 0.0000 0.0000
H: 0.2882 0.2882 0.7118
H: 0.2882 0.7118 0.2882
H: 0.7118 0.2882 0.2882
H: 0.7118 0.7118 0.7118
Au: 0.5000 0.5000 0.5000

Results
volume: 117.48 Å³ per cell
SG: P-43m (215)
mass density: 3.82 g cm⁻³
DFT total energy: -2.715 eV per atom


No. 13
Compound: Na4HAu2
Source: the Alexandria database
Functional: PBE-GGA
Structure: relaxed

abc: 8.4956 8.4956 8.4956
angles: 149.51 149.51 43.66
Atoms (fractional coordinates):
Na: 0.0000 0.5000 0.5000
Na: 0.1720 0.1720 0.0000
Na: 0.5000 0.0000 0.5000
Na: 0.8280 0.8280 0.0000
H: 0.0000 0.0000 0.0000
Au: 0.3637 0.3637 0.0000
Au: 0.6363 0.6363 0.0000

Results
volume: 157.43 Å³ per cell
SG: I4/mmm (139)
Fermi-level density of states: 0.33 states/eV per atom
mass density: 5.14 g cm⁻³
DFT total energy: -2.354 eV per atom


No. 14
Compound: NaHAu
Source: the Alexandria database
Functional: PBE-GGA
Structure: relaxed

abc: 3.4685 3.4685 4.5677
angles: 90.00 90.00 120.00
Atoms (fractional coordinates):
Na: 0.0000 0.0000 0.0000
H: 0.6667 0.3333 0.5000
Au: 0.3333 0.6667 0.5000

Results
volume: 47.59 Å³ per cell
SG: P-6m2 (187)
Fermi-level density of states: 0.25 states/eV per atom
mass density: 7.71 g cm⁻³
DFT total energy: -2.622 eV per atom


No. 15
Compound: NaH3Au
Source: the Alexandria database
Functional: PBE-GGA
Structure: relaxed

abc: 3.5843 5.4302 7.0481
angles: 90.03 90.04 109.26
Atoms (fractional coordinates):
Na: 0.0000 0.0000 0.0000
Na: 0.3892 0.7811 0.5002
H: 0.0525 0.1071 0.4453
H: 0.0536 0.1083 0.5535
H: 0.5471 0.0953 0.7927
H: 0.5475 0.0960 0.2064
H: 0.8667 0.7379 0.2657
H: 0.8680 0.7370 0.7336
Au: 0.7081 0.4190 0.2298
Au: 0.7085 0.4182 0.7693

Results
volume: 129.51 Å³ per cell
SG: P1 (1)
Fermi-level density of states: 0.00 states/eV per atom
mass density: 5.72 g cm⁻³
DFT total energy: -3.054 eV per atom


No. 16
Compound: NaH3Au
Source: the Alexandria database
Functional: PBE-GGA
Structure: relaxed

abc: 6.1239 6.1239 5.5144
angles: 90.00 90.00 143.11
Atoms (fractional coordinates):
Na: 0.1246 0.8754 0.7500
Na: 0.8754 0.1246 0.2500
H: 0.0521 0.6573 0.2500
H: 0.3427 0.9479 0.2500
H: 0.5000 0.5000 0.0000
H: 0.5000 0.5000 0.5000
H: 0.6573 0.0521 0.7500
H: 0.9479 0.3427 0.7500
Au: 0.3972 0.6028 0.7500
Au: 0.6028 0.3972 0.2500

Results
volume: 124.15 Å³ per cell
SG: Cmcm (63)
Fermi-level density of states: 0.08 states/eV per atom
mass density: 5.96 g cm⁻³
DFT total energy: -2.864 eV per atom


No. 17
Compound: NaH3Au
Source: the Alexandria database
Functional: PBE-GGA
Structure: relaxed

abc: 6.5655 6.5655 6.5862
angles: 105.87 105.87 84.62
Atoms (fractional coordinates):
Na: 0.1242 0.3757 0.2430
Na: 0.3757 0.1242 0.7430
Na: 0.6243 0.8758 0.2570
Na: 0.8758 0.6243 0.7570
H: 0.0639 0.3044 0.8520
H: 0.1345 0.6663 0.5847
H: 0.3044 0.0639 0.3520
H: 0.3337 0.8655 0.9153
H: 0.3979 0.3988 0.5883
H: 0.3988 0.3979 0.0883
H: 0.6012 0.6021 0.9117
H: 0.6021 0.6012 0.4117
H: 0.6663 0.1345 0.0847
H: 0.6956 0.9361 0.6480
H: 0.8655 0.3337 0.4153
H: 0.9361 0.6956 0.1480
Au: 0.1199 0.8801 0.2500
Au: 0.3666 0.6334 0.7500
Au: 0.6334 0.3666 0.2500
Au: 0.8801 0.1199 0.7500

Results
volume: 262.62 Å³ per cell
SG: C2/c (15)
Fermi-level density of states: 0.00 states/eV per atom
mass density: 5.64 g cm⁻³
DFT total energy: -3.026 eV per atom


No. 18
Compound: Na2HAu
Source: the Alexandria database
Functional: PBE-GGA
Structure: relaxed

abc: 5.5062 5.5062 5.5062
angles: 143.97 95.58 95.39
Atoms (fractional coordinates):
Na: 0.2000 0.0000 0.2000
Na: 0.8000 0.0000 0.8000
H: 0.9380 0.4380 0.5000
Au: 0.3657 0.3657 0.0000

Results
volume: 93.38 Å³ per cell
SG: Imm2 (44)
Fermi-level density of states: 0.01 states/eV per atom
mass density: 4.34 g cm⁻³
DFT total energy: -2.383 eV per atom


No. 19
Compound: NaH3Au
Source: the Alexandria database
Functional: PBE-GGA
Structure: relaxed

abc: 2.9620 5.8609 5.8609
angles: 45.28 90.00 90.00
Atoms (fractional coordinates):
Na: 0.0000 0.0000 0.0000
H: 0.0000 0.4502 0.9226
H: 0.0000 0.9226 0.4502
H: 0.5000 0.8664 0.8664
Au: 0.5000 0.6993 0.6993

Results
volume: 72.29 Å³ per cell
SG: Amm2 (38)
Fermi-level density of states: 0.06 states/eV per atom
mass density: 5.12 g cm⁻³
DFT total energy: -2.772 eV per atom


No. 20
Compound: Na3H4Au
Source: the Alexandria database
Functional: PBE-GGA
Structure: relaxed

abc: 6.8488 6.1033 5.6146
angles: 90.00 90.00 90.00
Atoms (fractional coordinates):
Na: 0.0000 0.1017 0.0000
Na: 0.2416 0.3323 0.5048
Na: 0.2584 0.6677 0.0048
Na: 0.5000 0.8983 0.5000
Na: 0.7416 0.6677 0.0048
Na: 0.7584 0.3323 0.5048
H: 0.0000 0.0865 0.5835
H: 0.0000 0.7834 0.1966
H: 0.2281 0.6941 0.6018
H: 0.2719 0.3059 0.1018
H: 0.5000 0.2166 0.6966
H: 0.5000 0.9135 0.0835
H: 0.7281 0.3059 0.1018
H: 0.7719 0.6941 0.6018
Au: 0.0000 0.7962 0.5154
Au: 0.5000 0.2038 0.0154

Results
volume: 234.69 Å³ per cell
SG: Pmn2_1 (31)
Fermi-level density of states: 0.00 states/eV per atom
mass density: 3.82 g cm⁻³
DFT total energy: -2.758 eV per atom


No. 21
Compound: NaH3Au
Source: the Alexandria database
Functional: PBE-GGA
Structure: relaxed

abc: 3.5812 3.5812 5.4620
angles: 90.00 90.00 90.00
Atoms (fractional coordinates):
Na: 0.0000 0.0000 0.0000
H: 0.0000 0.0000 0.6263
H: 0.0000 0.5000 0.3041
H: 0.5000 0.0000 0.3041
Au: 0.5000 0.5000 0.3311

Results
volume: 70.05 Å³ per cell
SG: P4mm (99)
Fermi-level density of states: 0.37 states/eV per atom
mass density: 5.29 g cm⁻³
DFT total energy: -2.627 eV per atom


No. 22
Compound: Na2H5Au2
Source: the Alexandria database
Functional: PBE-GGA
Structure: relaxed

abc: 6.4328 6.4328 5.6070
angles: 114.10 114.10 31.39
Atoms (fractional coordinates):
Na: 0.0981 0.0981 0.3885
Na: 0.9019 0.9019 0.6115
H: 0.2913 0.2913 0.6858
H: 0.4139 0.4139 0.3381
H: 0.5000 0.5000 0.0000
H: 0.5861 0.5861 0.6619
H: 0.7087 0.7087 0.3142
Au: 0.3530 0.3530 0.0123
Au: 0.6470 0.6470 0.9877

Results
volume: 109.43 Å³ per cell
SG: C2/m (12)
Fermi-level density of states: 0.19 states/eV per atom
mass density: 6.75 g cm⁻³
DFT total energy: -2.982 eV per atom


No. 23
Compound: NaH3Au
Source: the Alexandria database
Functional: PBE-GGA
Structure: relaxed

abc: 6.6044 6.6044 5.9469
angles: 103.99 103.99 78.04
Atoms (fractional coordinates):
Na: 0.0815 0.9185 0.7500
Na: 0.3854 0.6146 0.2500
Na: 0.6146 0.3854 0.7500
Na: 0.9185 0.0815 0.2500
H: 0.0811 0.7627 0.3830
H: 0.2156 0.2920 0.9351
H: 0.2373 0.9189 0.1170
H: 0.2612 0.5715 0.7778
H: 0.2920 0.2156 0.4351
H: 0.4285 0.7388 0.7222
H: 0.5715 0.2612 0.2778
H: 0.7080 0.7844 0.5649
H: 0.7388 0.4285 0.2222
H: 0.7627 0.0811 0.8830
H: 0.7844 0.7080 0.0649
H: 0.9189 0.2373 0.6170
Au: 0.0981 0.3991 0.6930
Au: 0.3991 0.0981 0.1930
Au: 0.6009 0.9019 0.8070
Au: 0.9019 0.6009 0.3070

Results
volume: 241.16 Å³ per cell
SG: C2/c (15)
Fermi-level density of states: 0.00 states/eV per atom
mass density: 6.14 g cm⁻³
DFT total energy: -2.981 eV per atom


No. 24
Compound: NaHAu
Source: the Alexandria database
Functional: PBE-GGA
Structure: relaxed

abc: 3.4823 3.4823 7.5781
angles: 90.00 90.00 90.00
Atoms (fractional coordinates):
Na: 0.2500 0.2500 0.1691
Na: 0.7500 0.7500 0.8309
H: 0.2500 0.2500 0.8415
H: 0.7500 0.7500 0.1585
Au: 0.2500 0.2500 0.6024
Au: 0.7500 0.7500 0.3976

Results
volume: 91.90 Å³ per cell
SG: P4/nmm (129)
Fermi-level density of states: 0.35 states/eV per atom
mass density: 7.99 g cm⁻³
DFT total energy: -2.798 eV per atom